No. 1
Below is a relaxed AlFeSb2 crystal, with properties calculated at the PBEsol level.

The electronic total energy is -21.41 eV for the cell shown. The calculation puts the total magnetic moment at 2.1 μB/f.u.

Cell lengths 3.6577, 3.6577, 7.2925 Å; angles 75.48, 75.48, 60.00 degrees
With the nearest neighbours (Å) after each atom.
Fractional positions:
Sb 0.2593 0.2593 0.2221  3 Fe 2.62, 3 Al 2.87
Sb 0.7407 0.7407 0.7779  3 Fe 2.62, 3 Al 2.87
Fe 0.0000 0.0000 0.0000  6 Sb 2.62
Al 0.5000 0.5000 0.5000  6 Sb 2.87

---

No. 2
Below is a relaxed Zn2ReP crystal, with properties calculated at the PBEsol level.

The calculation puts the total magnetic moment at 0.0 μB/f.u. For the formation enthalpy at 0 K, the calculation gives 225.6 meV/atom.

Cell lengths 3.0030, 4.5687, 4.5687 Å; angles 117.23, 90.00, 90.00 degrees
With the nearest neighbours (Å) after each atom.
Fractional positions:
P 0.5000 0.0000 0.0000  2 Re 2.38
Re 0.5000 0.5000 0.5000  2 P 2.38
Zn 0.0000 0.5000 0.0000  2 Zn 2.38
Zn 0.0000 0.0000 0.5000  2 Zn 2.38

---

Q: Which formula does entry 1 have?
A: AlFeSb2

---

Q: The lowest total magnetic moment belongs to which entry?
A: Zn2ReP

---

Q: Which of these has the highest total magnetic moment?
A: AlFeSb2